Below is a relaxed structure of BeVGa2O6, with properties calculated at the PBE with a Hubbard U level.

Cell and atoms, written as CIF:
```
data_BeVGa2O6
_chemical_formula_sum 'Be4 V4 Ga8 O24'
_cell_length_a 9.050
_cell_length_b 10.066
_cell_length_c 5.059
_cell_angle_alpha 90.00
_cell_angle_beta 111.68
_cell_angle_gamma 90.00
_space_group_name_H-M_alt 'C 1 2/c 1'
_space_group_IT_number 15
loop_
_space_group_symop_operation_xyz
'x,y,z'
'-x,-y,-z'
'-x,y,-z+1/2'
'x,-y,z+1/2'
'x+1/2,y+1/2,z'
'-x+1/2,-y+1/2,-z'
'-x+1/2,y+1/2,-z+1/2'
'x+1/2,-y+1/2,z+1/2'
loop_
_atom_site_label
_atom_site_fract_x
_atom_site_fract_y
_atom_site_fract_z
Be1 0.000 0.169 0.250
V1 0.000 0.101 0.750
Ga1 0.138 0.409 0.672
O1 0.093 0.226 0.573
O2 0.117 0.421 0.021
O3 0.120 0.066 0.168
```

Computed properties:
- size of the total moment (μB per formula unit) = 0.99
- final energy (eV for the cell shown) = -263.4